No. 1
Density functional theory data (meta-GGA SCAN) for MgCd2Os at its PBEsol-relaxed geometry.

Results
Theoretical density in g/cm³: 10.51
Space-group type: F-43m (216)
VASP energy in eV for the cell shown: -136.3
V in Å³/cell: 69.43

Unit cell a=4.6133 b=4.6133 c=4.6133 alpha=60.00 beta=60.00 gamma=60.00
Closest atoms and distances in Å follow each position.
Fractional coordinates of all 4 atoms:
1 Cd 0.0000 0.0000 0.0000  4 Cd 2.83, 4 Os 2.83
2 Cd 0.2500 0.2500 0.2500  4 Cd 2.83, 4 Mg 2.83
3 Mg 0.5000 0.5000 0.5000  4 Cd 2.83, 4 Os 2.83
4 Os 0.7500 0.7500 0.7500  4 Cd 2.83, 4 Mg 2.83

No. 2
Density functional theory data (meta-GGA SCAN) for MgCd2Os at its PBEsol-relaxed geometry.

Results
Theoretical density in g/cm³: 10.44
Space-group type: Pm (6)
VASP energy in eV for the cell shown: -136.6
V in Å³/cell: 69.90

Unit cell a=2.7990 b=4.2775 c=5.8380 alpha=90.00 beta=89.94 gamma=90.00
Closest atoms and distances in Å follow each position.
Fractional coordinates of all 4 atoms:
1 Cd 0.0010 0.0000 0.9884  1 Mg 2.70, 6 Cd 2.80-2.98, 4 Os 2.95
2 Cd 0.5002 0.5000 0.2496  6 Cd 2.80-2.98, 2 Os 2.84-3.00, 4 Mg 3.02
3 Mg 0.9989 0.0000 0.5261  3 Cd 2.70-3.02, 2 Mg 2.80, 4 Os 2.83-2.84
4 Os 0.4999 0.5000 0.7359  2 Os 2.80, 4 Mg 2.83-2.84, 6 Cd 2.84-3.00

> What is the theoretical density in the second record?

10.44 g/cm³

> What is the theoretical density in the second record?

10.44 g/cm³